Entry from Alexandria: an optimized crystal structure of Pm6Pr3Th2 (PBE).

The structure in POSCAR format:
```
Pm6Pr3Th2
1.0
1.825 1.054 32.861
-1.825 1.054 32.861
0.000 -2.108 32.861
Pm Pr Th
6 3 2
Direct
0.093 0.093 0.093
0.183 0.183 0.183
0.364 0.364 0.364
0.636 0.636 0.636
0.817 0.817 0.817
0.907 0.907 0.907
0.000 0.000 0.000
0.272 0.272 0.272
0.728 0.728 0.728
0.455 0.455 0.455
0.545 0.545 0.545
```

Entry from Alexandria: an optimized crystal structure of ZnSnO2 (PBE).

The structure in POSCAR format:
```
ZnSnO2
1.0
3.393 0.000 0.000
-1.693 8.052 0.000
-0.029 -1.049 9.993
Zn Sn O
4 4 8
Direct
0.172 0.339 0.223
0.317 0.633 0.067
0.683 0.367 0.933
0.828 0.661 0.777
0.153 0.315 0.599
0.497 0.987 0.202
0.503 0.013 0.798
0.847 0.685 0.401
0.037 0.082 0.678
0.179 0.356 0.025
0.302 0.598 0.268
0.377 0.762 0.724
0.623 0.238 0.276
0.698 0.402 0.732
0.821 0.644 0.975
0.963 0.918 0.322
```

Values from the calculation:
- Formation energy without anion corrections: -120 kJ/mol of atoms
- Distance to the lowest polymorph of the same formula: 0.030 eV/atom

Entry from Alexandria: an optimized crystal structure of NdY4Ho (PBE).

The structure in POSCAR format:
```
NdY4Ho
1.0
5.683 0.000 0.000
-2.842 4.922 0.000
0.000 0.000 6.945
Nd Y Ho
1 4 1
Direct
0.000 0.000 0.000
0.333 0.667 0.254
0.333 0.667 0.746
0.667 0.333 0.254
0.667 0.333 0.746
0.000 0.000 0.500
```

Values from the calculation:
- Distance to the lowest polymorph of the same formula: 0.000 eV/atom

Entry from Alexandria: an optimized crystal structure of Tc3SnN (PBE).

The structure in POSCAR format:
```
Tc3SnN
1.0
5.315 0.000 0.000
0.000 5.297 0.000
-1.249 0.000 10.732
Tc Sn N
12 4 4
Direct
0.033 0.138 0.385
0.033 0.362 0.885
0.156 0.128 0.099
0.156 0.372 0.599
0.430 0.571 0.203
0.430 0.929 0.703
0.570 0.071 0.297
0.570 0.429 0.797
0.844 0.628 0.401
0.844 0.872 0.901
0.967 0.638 0.115
0.967 0.862 0.615
0.359 0.737 0.455
0.359 0.763 0.955
0.641 0.237 0.045
0.641 0.263 0.545
0.248 0.221 0.769
0.248 0.279 0.269
0.752 0.721 0.731
0.752 0.779 0.231
```

Values from the calculation:
- Formation energy without anion corrections: 16 kJ/mol of atoms
- Distance to the lowest polymorph of the same formula: 0.123 eV/atom

Entry from Alexandria: an optimized crystal structure of Mn3Si (PBE).

The structure in POSCAR format:
```
Mn3Si
1.0
-1.409 1.936 3.957
1.409 -1.936 3.957
1.409 1.936 -3.957
Mn Si
3 1
Direct
0.000 0.000 0.000
0.255 0.755 0.500
0.745 0.245 0.500
0.500 0.500 0.000
```

Values from the calculation:
- Formation energy without anion corrections: -24 kJ/mol of atoms

Entry from Alexandria: an optimized crystal structure of KFe2Cu (PBE).

The structure in POSCAR format:
```
KFe2Cu
1.0
2.720 0.000 0.000
0.000 2.720 0.000
0.000 0.000 9.250
K Fe Cu
1 2 1
Direct
0.000 0.000 0.000
0.500 0.500 0.318
0.500 0.500 0.682
0.000 0.000 0.500
```

Values from the calculation:
- Distance to the lowest polymorph of the same formula: 0.228 eV/atom

Entry from Alexandria: an optimized crystal structure of Tb12Dy7Sc (PBE).

The structure in POSCAR format:
```
Tb12Dy7Sc
1.0
9.661 5.578 2.026
-9.661 5.578 2.026
0.000 -11.155 2.026
Tb Dy Sc
12 7 1
Direct
0.000 0.414 0.586
0.000 0.586 0.414
0.081 0.082 0.435
0.082 0.435 0.081
0.414 0.000 0.586
0.414 0.586 0.000
0.435 0.081 0.082
0.565 0.919 0.918
0.586 0.000 0.414
0.586 0.414 0.000
0.918 0.565 0.919
0.919 0.918 0.565
0.000 0.000 0.000
0.138 0.381 0.380
0.380 0.138 0.381
0.381 0.380 0.138
0.619 0.620 0.862
0.620 0.862 0.619
0.862 0.619 0.620
0.500 0.500 0.500
```

Entry from Alexandria: an optimized crystal structure of FeCu2Hg (PBE).

The structure in POSCAR format:
```
FeCu2Hg
1.0
-2.017 2.017 3.548
2.017 -2.017 3.548
2.017 2.017 -3.548
Fe Cu Hg
1 2 1
Direct
0.000 0.000 0.000
0.250 0.750 0.500
0.750 0.250 0.500
0.500 0.500 0.000
```

Values from the calculation:
- Distance to the lowest polymorph of the same formula: 0.052 eV/atom

Entry from Alexandria: an optimized crystal structure of LiMg2InRh (PBE).

The structure in POSCAR format:
```
LiMg2InRh
1.0
4.966 0.000 0.000
0.000 4.966 0.000
0.000 0.000 5.114
Li Mg In Rh
1 2 1 1
Direct
0.000 0.000 0.000
0.000 0.500 0.500
0.500 0.000 0.500
0.500 0.500 0.000
0.500 0.500 0.500
```

Entry from Alexandria: an optimized crystal structure of KMnSi2Se6 (PBE).

The structure in POSCAR format:
```
KMnSi2Se6
1.0
6.553 -5.893 0.000
6.553 5.893 0.000
-2.279 0.000 6.620
K Mn Si Se
2 2 4 12
Direct
0.195 0.805 0.750
0.805 0.195 0.250
0.388 0.612 0.250
0.612 0.388 0.750
0.122 0.303 0.782
0.303 0.122 0.282
0.697 0.878 0.718
0.878 0.697 0.218
0.095 0.163 0.012
0.115 0.571 0.303
0.163 0.095 0.512
0.329 0.468 0.877
0.429 0.885 0.197
0.468 0.329 0.377
0.532 0.671 0.623
0.571 0.115 0.803
0.671 0.532 0.123
0.837 0.905 0.488
0.885 0.429 0.697
0.905 0.837 0.988
```

Values from the calculation:
- Formation energy without anion corrections: -49 kJ/mol of atoms

Entry from Alexandria: an optimized crystal structure of ErMn4B2 (PBE).

The structure in POSCAR format:
```
ErMn4B2
1.0
1.866 -6.035 0.000
1.866 6.035 0.000
0.000 0.000 3.709
Er Mn B
1 4 2
Direct
0.000 0.000 0.000
0.191 0.809 0.500
0.306 0.694 0.000
0.694 0.306 0.000
0.809 0.191 0.500
0.386 0.614 0.500
0.614 0.386 0.500
```

Entry from Alexandria: an optimized crystal structure of LiLaC2O6 (PBE).

The structure in POSCAR format:
```
LiLaC2O6
1.0
5.121 -3.973 0.000
5.121 3.973 0.000
-4.003 0.000 5.736
Li La C O
2 2 4 12
Direct
0.248 0.752 0.750
0.752 0.248 0.250
0.196 0.804 0.250
0.804 0.196 0.750
0.213 0.324 0.372
0.324 0.213 0.872
0.676 0.787 0.128
0.787 0.676 0.628
0.038 0.204 0.196
0.204 0.038 0.696
0.209 0.384 0.978
0.212 0.544 0.440
0.384 0.209 0.478
0.456 0.788 0.060
0.544 0.212 0.940
0.616 0.791 0.522
0.788 0.456 0.560
0.791 0.616 0.022
0.796 0.962 0.304
0.962 0.796 0.804
```

Values from the calculation:
- Formation energy without anion corrections: -210 kJ/mol of atoms
- Distance to the lowest polymorph of the same formula: 0.000 eV/atom

Entry from Alexandria: an optimized crystal structure of NaRu3Br (PBE).

The structure in POSCAR format:
```
NaRu3Br
1.0
4.793 0.000 0.000
0.000 4.793 0.000
0.000 0.000 4.793
Na Ru Br
1 3 1
Direct
0.000 0.000 0.000
0.000 0.000 0.500
0.000 0.500 0.000
0.500 0.000 0.000
0.500 0.500 0.500
```

Values from the calculation:
- Formation energy without anion corrections: 235 kJ/mol of atoms
- Distance to the lowest polymorph of the same formula: 1.035 eV/atom

Entry from Alexandria: an optimized crystal structure of ZnNi5Pt (PBE).

The structure in POSCAR format:
```
ZnNi5Pt
1.0
2.494 -3.626 0.000
2.494 3.626 0.000
0.000 0.000 5.014
Zn Ni Pt
1 5 1
Direct
0.000 0.000 0.000
0.000 0.500 0.250
0.000 0.500 0.750
0.500 0.000 0.250
0.500 0.000 0.750
0.500 0.500 0.000
0.500 0.500 0.500
```

Entry from Alexandria: an optimized crystal structure of AlSiC2O (PBE).

The structure in POSCAR format:
```
AlSiC2O
1.0
3.798 0.000 0.000
0.000 3.798 0.000
0.000 0.000 3.520
Al Si C O
1 1 2 1
Direct
0.000 0.000 0.000
0.500 0.500 0.500
0.000 0.500 0.500
0.500 0.000 0.500
0.500 0.500 0.000
```

Values from the calculation:
- Formation energy without anion corrections: 73 kJ/mol of atoms

Entry from Alexandria: an optimized crystal structure of Rb2GaCuO4 (PBE).

The structure in POSCAR format:
```
Rb2GaCuO4
1.0
0.000 6.461 10.053
2.713 0.000 10.053
2.713 6.461 0.000
Rb Ga Cu O
4 2 2 8
Direct
0.054 0.054 0.696
0.304 0.304 0.946
0.696 0.696 0.054
0.946 0.946 0.304
0.125 0.125 0.125
0.875 0.875 0.875
0.375 0.375 0.375
0.625 0.625 0.625
0.010 0.695 0.552
0.243 0.552 0.695
0.305 0.990 0.757
0.448 0.757 0.990
0.552 0.243 0.010
0.695 0.010 0.243
0.757 0.448 0.305
0.990 0.305 0.448
```

Values from the calculation:
- Formation energy without anion corrections: -116 kJ/mol of atoms

Entry from Alexandria: an optimized crystal structure of PaBiRh (PBE).

The structure in POSCAR format:
```
PaBiRh
1.0
4.435 0.000 0.000
-2.218 3.841 0.000
0.000 0.000 4.243
Pa Bi Rh
1 1 1
Direct
0.000 0.000 0.000
0.333 0.667 0.466
0.667 0.333 0.704
```

Entry from Alexandria: an optimized crystal structure of AgBBr3 (PBE).

The structure in POSCAR format:
```
AgBBr3
1.0
5.298 0.000 0.000
0.000 5.298 0.000
0.000 0.000 5.298
Ag B Br
1 1 3
Direct
0.000 0.000 0.000
0.500 0.500 0.500
0.000 0.000 0.500
0.000 0.500 0.000
0.500 0.000 0.000
```

Values from the calculation:
- Formation energy without anion corrections: 83 kJ/mol of atoms
- Distance to the lowest polymorph of the same formula: 1.199 eV/atom

Entry from Alexandria: an optimized crystal structure of BePtRh2 (PBE).

The structure in POSCAR format:
```
BePtRh2
1.0
1.401 -2.307 0.000
1.401 2.307 0.000
0.000 0.000 8.293
Be Pt Rh
1 1 2
Direct
0.000 0.000 0.000
0.000 0.000 0.500
0.500 0.500 0.210
0.500 0.500 0.790
```

Entry from Alexandria: an optimized crystal structure of Dy3Er2Zn3 (PBE).

The structure in POSCAR format:
```
Dy3Er2Zn3
1.0
-1.792 2.580 10.658
1.792 -2.580 10.658
1.792 2.580 -10.658
Dy Er Zn
3 2 3
Direct
0.000 0.000 0.000
0.381 0.881 0.500
0.619 0.119 0.500
0.229 0.229 0.000
0.771 0.771 0.000
0.116 0.616 0.500
0.500 0.500 0.000
0.884 0.384 0.500
```

One value per record, in order, for calculated total energy: -5.22, -5.04, -5.80, -8.52, -8.48, -4.71, -4.47, -3.93, -3.19, -4.71, -8.02, -7.68, -3.73, -5.16, -5.75, -4.82, -7.32, -2.05, -6.21, -3.60 eV per atom.